Here is an optimized crystal structure of SrMgRe2 from Alexandria via LeMat-Bulk. Energies are from PBE-GGA.

Computed properties:
- E_form (eV per atom) = 1.12
- calculated total energy (eV per atom) = -5.92

CIF file:
```
data_SrMgRe2
_chemical_formula_sum 'Sr4 Mg4 Re8'
_space_group_name_H-M_alt 'I -4 2 d'
_space_group_IT_number 122
_space_group_name_Hall 'I -4 2bw'
_cell_length_a 4.5893
_cell_length_b 4.5893
_cell_length_c 19.5712
_cell_angle_alpha 90.00
_cell_angle_beta 90.00
_cell_angle_gamma 90.00
loop_
_atom_site_label
_atom_site_type_symbol
_atom_site_fract_x
_atom_site_fract_y
_atom_site_fract_z
Sr1 Sr 0.0000 0.0000 0.0000
Mg1 Mg 0.0000 0.0000 0.5000
Re1 Re 0.0775 0.2500 0.6250
```


Here is an optimized crystal structure of TlNi2S from Alexandria via LeMat-Bulk. Energies are from PBE-GGA.

Computed properties:
- polymorph energy (0 for the lowest one) (eV per formula unit) = 1.97
- calculated total energy (eV per atom) = -4.12
- formation energy (no corrections) (eV/atom) = 0.393

CIF file:
```
data_TlNi2S
_chemical_formula_sum 'Tl4 Ni8 S4'
_space_group_name_H-M_alt 'F m -3 m'
_space_group_IT_number 225
_space_group_name_Hall '-F 4 2 3'
_cell_length_a 6.2498
_cell_length_b 6.2498
_cell_length_c 6.2498
_cell_angle_alpha 90.00
_cell_angle_beta 90.00
_cell_angle_gamma 90.00
loop_
_atom_site_label
_atom_site_type_symbol
_atom_site_fract_x
_atom_site_fract_y
_atom_site_fract_z
Tl1 Tl 0.0000 0.0000 0.0000
Ni1 Ni 0.2500 0.2500 0.2500
S1 S 0.0000 0.0000 0.5000
```


Here is an optimized crystal structure of K2NiAs from Alexandria via LeMat-Bulk. Energies are from PBE-GGA.

Computed properties:
- E_form (eV per atom) = -0.18
- calculated total energy (eV per atom) = -3.34

CIF file:
```
data_K2NiAs
_chemical_formula_sum 'K8 Ni4 As4'
_space_group_name_H-M_alt 'I -4 2 d'
_space_group_IT_number 122
_space_group_name_Hall 'I -4 2bw'
_cell_length_a 12.3834
_cell_length_b 12.3834
_cell_length_c 4.3640
_cell_angle_alpha 90.00
_cell_angle_beta 90.00
_cell_angle_gamma 90.00
loop_
_atom_site_label
_atom_site_type_symbol
_atom_site_fract_x
_atom_site_fract_y
_atom_site_fract_z
K1 K 0.0130 0.2500 0.1250
Ni1 Ni 0.0000 0.0000 0.0000
As1 As 0.0000 0.0000 0.5000
```


Here is an optimized crystal structure of Th6TlAs2Se3 from Alexandria via LeMat-Bulk. Energies are from PBE-GGA.

Computed properties:
- calculated total energy (eV per atom) = -6.77
- formation energy (no corrections) (eV/atom) = -1.221

CIF file:
```
data_Th6TlAs2Se3
_chemical_formula_sum 'Th12 Tl2 As4 Se6'
_space_group_name_H-M_alt 'C 1 2/m 1'
_space_group_IT_number 12
_space_group_name_Hall '-C 2y'
_cell_length_a 18.5894
_cell_length_b 4.3330
_cell_length_c 8.4726
_cell_angle_alpha 90.00
_cell_angle_beta 102.16
_cell_angle_gamma 90.00
loop_
_atom_site_label
_atom_site_type_symbol
_atom_site_fract_x
_atom_site_fract_y
_atom_site_fract_z
Th1 Th 0.0042 0.0000 0.2655
Th2 Th 0.1673 0.5000 0.5793
Th3 Th 0.1723 0.5000 0.0893
Tl1 Tl 0.0000 0.5000 0.0000
As1 As 0.1688 0.0000 0.3337
Se1 Se 0.0000 0.5000 0.5000
Se2 Se 0.1622 0.0000 0.8307
```


Here is an optimized crystal structure of KReSe2 from Alexandria via LeMat-Bulk. Energies are from PBE-GGA.

Computed properties:
- polymorph energy (0 for the lowest one) (eV per formula unit) = 0.00
- calculated total energy (eV per atom) = -5.39
- formation energy (no corrections) (eV/atom) = -0.265

CIF file:
```
data_KReSe2
_chemical_formula_sum 'K2 Re2 Se4'
_space_group_name_H-M_alt 'C 1 2/m 1'
_space_group_IT_number 12
_space_group_name_Hall '-C 2y'
_cell_length_a 7.2852
_cell_length_b 3.4091
_cell_length_c 7.4512
_cell_angle_alpha 90.00
_cell_angle_beta 101.63
_cell_angle_gamma 90.00
loop_
_atom_site_label
_atom_site_type_symbol
_atom_site_fract_x
_atom_site_fract_y
_atom_site_fract_z
K1 K 0.0000 0.0000 0.0000
Re1 Re 0.0000 0.5000 0.5000
Se1 Se 0.2336 0.0000 0.6783
```


Here is an optimized crystal structure of Cs2NaOsO4 from Alexandria via LeMat-Bulk. Energies are from PBE-GGA.

Computed properties:
- calculated total energy (eV per atom) = -5.48
- formation energy (no corrections) (eV/atom) = -1.214

CIF file:
```
data_Cs2NaOsO4
_chemical_formula_sum 'Cs16 Na8 Os8 O32'
_space_group_name_H-M_alt 'F d d d'
_space_group_IT_number 70
_cell_length_a 6.0780
_cell_length_b 13.7516
_cell_length_c 20.8694
_cell_angle_alpha 90.00
_cell_angle_beta 90.00
_cell_angle_gamma 90.00
loop_
_space_group_symop_operation_xyz
'x,y,z'
'-x,-y,-z'
'-x+1/4,-y+1/4,z'
'x+1/4,y+1/4,-z'
'x,-y+1/4,-z+1/4'
'-x,y+1/4,z+1/4'
'-x+1/4,y,-z+1/4'
'x+1/4,-y,z+1/4'
'x,y+1/2,z+1/2'
'-x,-y+1/2,-z+1/2'
'-x+1/4,-y+3/4,z+1/2'
'x+1/4,y+3/4,-z+1/2'
'x,-y+3/4,-z+3/4'
'-x,y+3/4,z+3/4'
'-x+1/4,y+1/2,-z+3/4'
'x+1/4,-y+1/2,z+3/4'
'x+1/2,y,z+1/2'
'-x+1/2,-y,-z+1/2'
'-x+3/4,-y+1/4,z+1/2'
'x+3/4,y+1/4,-z+1/2'
'x+1/2,-y+1/4,-z+3/4'
'-x+1/2,y+1/4,z+3/4'
'-x+3/4,y,-z+3/4'
'x+3/4,-y,z+3/4'
'x+1/2,y+1/2,z'
'-x+1/2,-y+1/2,-z'
'-x+3/4,-y+3/4,z'
'x+3/4,y+3/4,-z'
'x+1/2,-y+3/4,-z+1/4'
'-x+1/2,y+3/4,z+1/4'
'-x+3/4,y+1/2,-z+1/4'
'x+3/4,-y+1/2,z+1/4'
loop_
_atom_site_label
_atom_site_type_symbol
_atom_site_fract_x
_atom_site_fract_y
_atom_site_fract_z
Cs1 Cs 0.1250 0.1250 0.3007
Na1 Na 0.1250 0.1250 0.1250
Os1 Os 0.1250 0.1250 0.6250
O1 O 0.0849 0.2802 0.8584
```


Here is an optimized crystal structure of Na3BOs from Alexandria via LeMat-Bulk. Energies are from PBE-GGA.

Computed properties:
- E_form (eV per atom) = 2.17
- polymorph energy (0 for the lowest one) (eV per formula unit) = 1.61
- calculated total energy (eV per atom) = -2.21

CIF file:
```
data_Na3BOs
_chemical_formula_sum 'Na3 B1 Os1'
_space_group_name_H-M_alt 'P m -3 m'
_space_group_IT_number 221
_space_group_name_Hall '-P 4 2 3'
_cell_length_a 5.4859
_cell_length_b 5.4859
_cell_length_c 5.4859
_cell_angle_alpha 90.00
_cell_angle_beta 90.00
_cell_angle_gamma 90.00
loop_
_atom_site_label
_atom_site_type_symbol
_atom_site_fract_x
_atom_site_fract_y
_atom_site_fract_z
Na1 Na 0.0000 0.0000 0.5000
B1 B 0.5000 0.5000 0.5000
Os1 Os 0.0000 0.0000 0.0000
```


Here is an optimized crystal structure of Tm2PuHgO8 from Alexandria via LeMat-Bulk. Energies are from PBE-GGA.

Computed properties:
- calculated total energy (eV per atom) = -7.62
- formation energy (no corrections) (eV/atom) = -2.347

CIF file:
```
data_Tm2PuHgO8
_chemical_formula_sum 'Tm4 Pu2 Hg2 O16'
_space_group_name_H-M_alt 'C m m m'
_space_group_IT_number 65
_space_group_name_Hall '-C 2 2'
_cell_length_a 6.7974
_cell_length_b 7.1656
_cell_length_c 7.2585
_cell_angle_alpha 90.00
_cell_angle_beta 90.00
_cell_angle_gamma 90.00
loop_
_atom_site_label
_atom_site_type_symbol
_atom_site_fract_x
_atom_site_fract_y
_atom_site_fract_z
Tm1 Tm 0.0000 0.0000 0.2417
Pu1 Pu 0.0000 0.5000 0.5000
Hg1 Hg 0.0000 0.5000 0.0000
O1 O 0.0000 0.3075 0.3064
O2 O 0.1943 0.0000 0.0000
O3 O 0.2040 0.0000 0.5000
```


Here is an optimized crystal structure of KAgF3 from Alexandria via LeMat-Bulk. Energies are from PBE-GGA.

Computed properties:
- calculated total energy (eV per atom) = -3.77
- formation energy (no corrections) (eV/atom) = -1.861

CIF file:
```
data_KAgF3
_chemical_formula_sum 'K1 Ag1 F3'
_space_group_name_H-M_alt 'P m -3 m'
_space_group_IT_number 221
_space_group_name_Hall '-P 4 2 3'
_cell_length_a 4.3966
_cell_length_b 4.3966
_cell_length_c 4.3966
_cell_angle_alpha 90.00
_cell_angle_beta 90.00
_cell_angle_gamma 90.00
loop_
_atom_site_label
_atom_site_type_symbol
_atom_site_fract_x
_atom_site_fract_y
_atom_site_fract_z
K1 K 0.0000 0.0000 0.0000
Ag1 Ag 0.5000 0.5000 0.5000
F1 F 0.0000 0.5000 0.5000
```


In g cm⁻³, the theoretical density values for the records above are, in order, 7.80 9.63 2.10 9.87 7.02 4.14 2.72 8.55 3.99.